Record 1
A geometry-optimized DyEr3Tm3 structure, computed with PBE.

```
data_DyEr3Tm3
_cell_length_a 9.4434
_cell_length_b 9.4434
_cell_length_c 5.5525
_cell_angle_alpha 90.00
_cell_angle_beta 90.00
_cell_angle_gamma 120.00
_space_group_name_H-M_alt 'P 63/m'
_space_group_IT_number 176
_space_group_name_Hall '-P 6c'
loop_
_atom_site_label
_atom_site_fract_x
_atom_site_fract_y
_atom_site_fract_z
Dy1 0.3333 0.6667 0.2500
Er1 0.0476 0.8096 0.2500
Tm1 0.0951 0.6188 0.7500
```

Properties
- Size of the total moment: 0.001 Bohr magnetons per cell
- E_form: 0.002 eV per atom
- VASP energy: -4.53 eV/atom
- Relative energy among the computed polymorphs: 0.000 eV/atom

***

Record 2
A geometry-optimized Dy2Er8Tm3 structure, computed with PBE.

```
data_Dy2Er8Tm3
_cell_length_a 22.602
_cell_length_b 6.709
_cell_length_c 5.533
_cell_angle_alpha 90.00
_cell_angle_beta 104.11
_cell_angle_gamma 90.00
_space_group_name_H-M_alt 'C 1 2/m 1'
_space_group_IT_number 12
loop_
_space_group_symop_operation_xyz
'x,y,z'
'-x,-y,-z'
'-x,y,-z'
'x,-y,z'
'x+1/2,y+1/2,z'
'-x+1/2,-y+1/2,-z'
'-x+1/2,y+1/2,-z'
'x+1/2,-y+1/2,z'
loop_
_atom_site_label
_atom_site_fract_x
_atom_site_fract_y
_atom_site_fract_z
Dy1 0.223 0.000 0.223
Er1 0.075 0.000 0.075
Er2 0.152 0.238 0.653
Er3 0.182 0.500 0.182
Tm1 0.000 0.238 0.500
Tm2 0.000 0.500 0.000
```

Properties
- Size of the total moment: 0.000 Bohr magnetons per cell
- E_form: 0.168 eV per atom
- VASP energy: -4.38 eV/atom
- Relative energy among the computed polymorphs: 0.000 eV/atom

***

Record 3
A geometry-optimized Dy4Er3Tm4 structure, computed with PBE.

```
data_Dy4Er3Tm4
_cell_length_a 3.471
_cell_length_b 5.525
_cell_length_c 17.824
_cell_angle_alpha 81.13
_cell_angle_beta 84.43
_cell_angle_gamma 89.99
_space_group_name_H-M_alt 'P -1'
_space_group_IT_number 2
loop_
_space_group_symop_operation_xyz
'x,y,z'
'-x,-y,-z'
loop_
_atom_site_label
_atom_site_fract_x
_atom_site_fract_y
_atom_site_fract_z
Dy1 0.090 0.090 0.319
Dy2 0.233 0.733 0.034
Er1 0.364 0.364 0.773
Er2 0.500 0.000 0.500
Tm1 0.045 0.545 0.409
Tm2 0.180 0.180 0.139
```

Properties
- Size of the total moment: 0.001 Bohr magnetons per cell
- E_form: 0.065 eV per atom
- VASP energy: -4.48 eV/atom
- Relative energy among the computed polymorphs: 0.000 eV/atom

***

Record 4
A geometry-optimized DyEr4Tm structure, computed with PBE.

```
data_DyEr4Tm
_cell_length_a 5.584
_cell_length_b 21.904
_cell_length_c 6.037
_cell_angle_alpha 90.00
_cell_angle_beta 90.00
_cell_angle_gamma 90.00
_space_group_name_H-M_alt 'I m m a'
_space_group_IT_number 74
_space_group_name_Hall '-I 2b 2'
loop_
_atom_site_label
_atom_site_fract_x
_atom_site_fract_y
_atom_site_fract_z
Dy1 0.000 0.000 0.000
Er1 0.000 0.089 0.435
Er2 0.000 0.168 0.924
Tm1 0.000 0.250 0.422
```

Properties
- Size of the total moment: 0.002 Bohr magnetons per cell
- E_form: 0.066 eV per atom
- VASP energy: -4.49 eV/atom
- Relative energy among the computed polymorphs: 0.000 eV/atom

***

Record 5
A geometry-optimized DyEr4Tm2 structure, computed with PBE.

```
data_DyEr4Tm2
_cell_length_a 16.429
_cell_length_b 3.482
_cell_length_c 8.590
_cell_angle_alpha 90.00
_cell_angle_beta 119.57
_cell_angle_gamma 90.00
_space_group_name_H-M_alt 'C 1 2/m 1'
_space_group_IT_number 12
loop_
_space_group_symop_operation_xyz
'x,y,z'
'-x,-y,-z'
'-x,y,-z'
'x,-y,z'
'x+1/2,y+1/2,z'
'-x+1/2,-y+1/2,-z'
'-x+1/2,y+1/2,-z'
'x+1/2,-y+1/2,z'
loop_
_atom_site_label
_atom_site_fract_x
_atom_site_fract_y
_atom_site_fract_z
Dy1 0.000 0.000 0.000
Er1 0.141 0.500 0.833
Er2 0.204 0.500 0.294
Tm1 0.070 0.000 0.430
```

Properties
- Size of the total moment: 0.000 Bohr magnetons per cell
- E_form: 0.038 eV per atom
- VASP energy: -4.50 eV/atom
- Relative energy among the computed polymorphs: 0.000 eV/atom

***

Record 6
A geometry-optimized Dy6ErTm3 structure, computed with PBE.

```
data_Dy6ErTm3
_cell_length_a 10.889
_cell_length_b 18.799
_cell_length_c 6.125
_cell_angle_alpha 90.00
_cell_angle_beta 90.00
_cell_angle_gamma 90.00
_space_group_name_H-M_alt 'C m c 21'
_space_group_IT_number 36
loop_
_space_group_symop_operation_xyz
'x,y,z'
'-x,-y,z+1/2'
'-x,y,z'
'x,-y,z+1/2'
'x+1/2,y+1/2,z'
'-x+1/2,-y+1/2,z+1/2'
'-x+1/2,y+1/2,z'
'x+1/2,-y+1/2,z+1/2'
loop_
_atom_site_label
_atom_site_fract_x
_atom_site_fract_y
_atom_site_fract_z
Dy1 0.000 0.047 0.000
Dy2 0.000 0.282 0.726
Dy3 0.165 0.454 0.615
Dy4 0.245 0.290 0.437
Er1 0.000 0.206 0.225
Tm1 0.000 0.390 0.152
Tm2 0.170 0.109 0.536
```

Properties
- Size of the total moment: 0.001 Bohr magnetons per cell
- E_form: 0.150 eV per atom
- VASP energy: -4.41 eV/atom
- Relative energy among the computed polymorphs: 0.023 eV/atom

***

Record 7
A geometry-optimized Dy2Er3Tm6 structure, computed with PBE.

```
data_Dy2Er3Tm6
_cell_length_a 5.5612
_cell_length_b 5.5612
_cell_length_c 37.9017
_cell_angle_alpha 90.00
_cell_angle_beta 90.00
_cell_angle_gamma 120.00
_space_group_name_H-M_alt 'R -3 m'
_space_group_IT_number 166
_space_group_name_Hall '-R 3 2"'
loop_
_atom_site_label
_atom_site_fract_x
_atom_site_fract_y
_atom_site_fract_z
Dy1 0.0000 0.0000 0.0455
Er1 0.0000 0.0000 0.2340
Er2 0.0000 0.0000 0.5000
Tm1 0.0000 0.0000 0.1386
Tm2 0.0000 0.0000 0.3279
Tm3 0.0000 0.0000 0.4166
```

Properties
- Size of the total moment: 0.003 Bohr magnetons per cell
- E_form: 0.127 eV per atom
- VASP energy: -4.39 eV/atom
- Relative energy among the computed polymorphs: 0.000 eV/atom

***

Record 8
A geometry-optimized Dy7Er2Tm2 structure, computed with PBE.

```
data_Dy7Er2Tm2
_cell_length_a 8.885
_cell_length_b 9.309
_cell_length_c 8.546
_cell_angle_alpha 90.00
_cell_angle_beta 100.66
_cell_angle_gamma 90.00
_space_group_name_H-M_alt 'C 1 2/m 1'
_space_group_IT_number 12
loop_
_space_group_symop_operation_xyz
'x,y,z'
'-x,-y,-z'
'-x,y,-z'
'x,-y,z'
'x+1/2,y+1/2,z'
'-x+1/2,-y+1/2,-z'
'-x+1/2,y+1/2,-z'
'x+1/2,-y+1/2,z'
loop_
_atom_site_label
_atom_site_fract_x
_atom_site_fract_y
_atom_site_fract_z
Dy1 0.000 0.000 0.000
Dy2 0.154 0.000 0.411
Dy3 0.234 0.315 0.210
Er1 0.106 0.500 0.857
Tm1 0.000 0.324 0.500
```

Properties
- Size of the total moment: 0.005 Bohr magnetons per cell
- E_form: 0.109 eV per atom
- VASP energy: -4.46 eV/atom
- Relative energy among the computed polymorphs: 0.000 eV/atom

***

Record 9
A geometry-optimized Dy5Er2Tm5 structure, computed with PBE.

```
data_Dy5Er2Tm5
_cell_length_a 14.870
_cell_length_b 4.953
_cell_length_c 11.096
_cell_angle_alpha 90.00
_cell_angle_beta 116.55
_cell_angle_gamma 90.00
_space_group_name_H-M_alt 'C 1 2/m 1'
_space_group_IT_number 12
loop_
_space_group_symop_operation_xyz
'x,y,z'
'-x,-y,-z'
'-x,y,-z'
'x,-y,z'
'x+1/2,y+1/2,z'
'-x+1/2,-y+1/2,-z'
'-x+1/2,y+1/2,-z'
'x+1/2,-y+1/2,z'
loop_
_atom_site_label
_atom_site_fract_x
_atom_site_fract_y
_atom_site_fract_z
Dy1 0.000 0.000 0.000
Dy2 0.084 0.000 0.750
Dy3 0.166 0.000 0.500
Er1 0.083 0.500 0.250
Tm1 0.000 0.500 0.500
Tm2 0.167 0.500 0.000
Tm3 0.250 0.000 0.249
```

Properties
- Size of the total moment: 0.000 Bohr magnetons per cell
- E_form: 0.023 eV per atom
- VASP energy: -4.52 eV/atom

***

Record 10
A geometry-optimized Dy2Er2Tm7 structure, computed with PBE.

```
data_Dy2Er2Tm7
_cell_length_a 8.814
_cell_length_b 9.255
_cell_length_c 8.510
_cell_angle_alpha 90.00
_cell_angle_beta 101.16
_cell_angle_gamma 90.00
_space_group_name_H-M_alt 'C 1 2/m 1'
_space_group_IT_number 12
loop_
_space_group_symop_operation_xyz
'x,y,z'
'-x,-y,-z'
'-x,y,-z'
'x,-y,z'
'x+1/2,y+1/2,z'
'-x+1/2,-y+1/2,-z'
'-x+1/2,y+1/2,-z'
'x+1/2,-y+1/2,z'
loop_
_atom_site_label
_atom_site_fract_x
_atom_site_fract_y
_atom_site_fract_z
Dy1 0.000 0.178 0.000
Er1 0.103 0.000 0.356
Tm1 0.000 0.500 0.500
Tm2 0.152 0.500 0.907
Tm3 0.238 0.182 0.709
```

Properties
- Size of the total moment: 0.000 Bohr magnetons per cell
- E_form: 0.120 eV per atom
- VASP energy: -4.39 eV/atom
- Relative energy among the computed polymorphs: 0.025 eV/atom